[1]
The following is a PBE calculation of a relaxed Ta6AlMo5 crystal, from Alexandria.

Properties
**Symmetry**: No. 71
**VASP energy**: -131.41 eV/f.u.
**E_form**: -0.1996 eV/atom

```
Ta6AlMo5
1.0
-3.888 -1.083 2.107
-2.868 -0.896 -5.753
5.263 -5.607 1.910
Mo Al Ta
5 1 6
Direct
0.660 0.160 0.320
0.331 0.331 0.663
0.000 0.500 0.000
0.669 0.669 0.337
0.340 0.840 0.680
0.000 0.000 0.000
0.831 0.578 0.663
0.831 0.085 0.663
0.500 0.741 0.000
0.500 0.259 0.000
0.169 0.915 0.337
0.169 0.422 0.337
```


[2]
The following is a PBE calculation of a relaxed NbV3Co crystal, from Alexandria.

Properties
**Symmetry**: No. 2
**VASP energy**: -44.76 eV/f.u.
**Relative energy among the computed polymorphs**: 0.0000 eV/atom
**E_form**: -0.0460 eV/atom

```
NbV3Co
1.0
4.967 0.558 0.261
0.727 6.063 0.976
-0.083 -2.233 4.327
Nb V Co
2 6 2
Direct
0.793 0.850 0.434
0.207 0.150 0.566
0.872 0.609 0.820
0.329 0.680 0.638
0.128 0.391 0.180
0.671 0.320 0.362
0.348 0.700 0.151
0.652 0.300 0.849
0.000 0.000 0.000
0.500 0.000 0.000
```


[3]
The following is a PBE calculation of a relaxed Ce2TlHg6 crystal, from Alexandria.

Properties
**Symmetry**: No. 12
**VASP energy**: -18.32 eV/f.u.
**Relative energy among the computed polymorphs**: 0.0000 eV/atom
**E_form**: -0.2527 eV/atom

```
Ce2TlHg6
1.0
6.000 0.000 1.431
0.000 8.913 0.000
-1.243 -4.456 4.078
Ce Tl Hg
2 1 6
Direct
0.671 0.670 0.340
0.329 0.330 0.660
0.000 0.000 0.000
0.167 0.500 0.334
0.833 0.167 0.666
0.833 0.500 0.666
0.500 0.167 0.000
0.167 0.833 0.334
0.500 0.833 0.000
```


The highest E_form belongs to which entry?
NbV3Co